VASP calculation (PBE) on a geometry-optimized LaPm2Y2Tm structure.

```
LaPm2Y2Tm
1.0
5.721 0.000 0.000
0.000 9.849 0.000
0.000 0.000 7.104
La Pm Y Tm
2 4 4 2
direct
0.000 0.001 0.000
0.000 0.999 0.500
0.000 0.337 0.750
0.000 0.663 0.250
0.500 0.172 0.250
0.500 0.828 0.750
0.000 0.334 0.250
0.000 0.666 0.750
0.500 0.500 0.000
0.500 0.500 0.500
0.500 0.168 0.750
0.500 0.832 0.250
```

Computed properties:
Symmetry: No. 26
Crystal system: orthorhombic


VASP calculation (PBE) on a geometry-optimized Sc2Ta2W structure.

```
Sc2Ta2W
1.0
6.618 0.000 0.000
0.000 6.618 0.000
0.000 0.000 4.834
Sc Ta W
4 4 2
direct
0.168 0.332 0.000
0.332 0.832 0.000
0.668 0.168 0.000
0.832 0.668 0.000
0.144 0.644 0.500
0.356 0.144 0.500
0.644 0.856 0.500
0.856 0.356 0.500
0.000 0.000 0.500
0.500 0.500 0.500
```

Computed properties:
Symmetry: No. 127
Crystal system: tetragonal


VASP calculation (PBE) on a geometry-optimized VSbTe2H structure.

```
VSbTe2H
1.0
5.289 0.000 0.000
0.000 5.289 0.000
0.000 0.000 3.822
V Sb Te H
1 1 2 1
direct
0.000 0.000 0.000
0.500 0.500 0.000
0.000 0.500 0.500
0.500 0.000 0.500
0.500 0.500 0.500
```

Computed properties:
Symmetry: No. 123
Crystal system: tetragonal


VASP calculation (PBE) on a geometry-optimized LaSnH2 structure.

```
LaSnH2
1.0
-2.422 2.422 6.283
2.422 -2.422 6.283
2.422 2.422 -6.283
La Sn H
2 2 4
direct
0.000 0.000 0.000
0.750 0.250 0.500
0.250 0.750 0.500
0.500 0.500 0.000
0.089 0.625 0.964
0.375 0.339 0.464
0.661 0.125 0.036
0.875 0.911 0.536
```

Computed properties:
Symmetry: No. 122
Crystal system: tetragonal


Calculated values (eV/atom) of total energy for the records, taken in order: -5.25 -9.48 -4.03 -4.09.